1.
A plane-wave DFT calculation with GGA-PBE was carried out for a relaxed structure of Rb3TlB2O6.

a = 5.6462 Å, b = 5.6462 Å, c = 7.2265 Å
α = 90.00°, β = 90.00°, γ = 120.00°
Element x y z (fractional)
Rb  0.3333  0.6667  0.7501
Rb  0.6667  0.3333  0.2499
Rb  0.0000  0.0000  0.0000
Tl  0.0000  0.0000  0.5000
B  0.6667  0.3333  0.6862
B  0.3333  0.6667  0.3138
O  0.6196  0.8098  0.3051
O  0.1902  0.3804  0.3051
O  0.1902  0.8098  0.3051
O  0.8098  0.6196  0.6949
O  0.3804  0.1902  0.6949
O  0.8098  0.1902  0.6949

Summary:
Symmetry   P-3m1 (164)



2.
A plane-wave DFT calculation with GGA-PBE was carried out for a relaxed structure of RbTlBO3.

a = 5.7866 Å, b = 5.7866 Å, c = 6.7991 Å
α = 90.00°, β = 90.00°, γ = 120.00°
Element x y z (fractional)
Rb  0.6667  0.3333  0.2500
Rb  0.3333  0.6667  0.7500
Tl  0.0000  0.0000  0.5000
Tl  0.0000  0.0000  0.0000
B  0.3333  0.6667  0.2500
B  0.6667  0.3333  0.7500
O  0.8067  0.1933  0.7500
O  0.1933  0.3866  0.2500
O  0.3866  0.1933  0.7500
O  0.6134  0.8067  0.2500
O  0.8067  0.6134  0.7500
O  0.1933  0.8067  0.2500

Summary:
DOS(E_F)   2.91 states/eV per cell
Symmetry   P6_3/mmc (194)



3.
A plane-wave DFT calculation with GGA-PBE was carried out for a relaxed structure of Rb2TmBO4.

a = 5.0144 Å, b = 6.3747 Å, c = 11.7573 Å
α = 85.19°, β = 77.69°, γ = 66.84°
Element x y z (fractional)
Rb  0.1787  0.0000  0.6426
Rb  0.8213  0.0000  0.3574
Rb  0.5713  0.5000  0.8574
Rb  0.9287  0.5000  0.1426
Tm  0.7500  0.5000  0.5000
Tm  0.0000  0.0000  0.0000
B  0.2500  0.5000  0.5000
B  0.5000  0.0000  0.0000
O  0.3672  0.8438  0.0766
O  0.2876  0.1562  0.9234
O  0.7890  0.8438  0.9234
O  0.5562  0.1562  0.0766
O  0.3828  0.6562  0.4234
O  0.4624  0.3438  0.5766
O  0.9610  0.6562  0.5766
O  0.1938  0.3438  0.4234

Summary:
DOS(E_F)   0.00 states/eV per cell
Symmetry   Fddd (70)



4.
A plane-wave DFT calculation with GGA-PBE was carried out for a relaxed structure of RbTm3B4O12.

a = 6.6161 Å, b = 6.6161 Å, c = 6.6161 Å
α = 101.22°, β = 101.22°, γ = 101.22°
Last column: magnetic moment on the atom in μB.
Element x y z (fractional)
Rb  0.0000  0.0000  0.0000  0.01
Tm  0.5502  0.4498  0.0000  0.00
Tm  0.4498  0.0000  0.5502  0.00
Tm  0.0000  0.5502  0.4498  0.00
B  0.9555  0.0445  0.5000  -0.01
B  0.0445  0.5000  0.9555  -0.01
B  0.5000  0.9555  0.0445  -0.01
B  0.5000  0.5000  0.5000  -0.01
O  0.5000  0.3636  0.6364  0.08
O  0.9090  0.5000  0.0910  0.07
O  0.0910  0.9090  0.5000  0.07
O  0.5000  0.0910  0.9090  0.07
O  0.4122  0.9890  0.2148  0.21
O  0.2148  0.4122  0.9890  0.21
O  0.9890  0.2148  0.4122  0.21
O  0.5878  0.7852  0.0110  0.21
O  0.0110  0.5878  0.7852  0.21
O  0.7852  0.0110  0.5878  0.21
O  0.6364  0.5000  0.3636  0.08
O  0.3636  0.6364  0.5000  0.08

Summary:
DOS(E_F)   7.12 states/eV per cell
Symmetry   R32 (155)



5.
A plane-wave DFT calculation with GGA-PBE was carried out for a relaxed structure of RbUB2O6.

a = 5.3902 Å, b = 5.3902 Å, c = 6.9071 Å
α = 67.03°, β = 67.03°, γ = 60.00°
Last column: magnetic moment on the atom in μB.
Element x y z (fractional)
Rb  0.0000  0.0000  0.0000  0.00
U  0.5000  0.5000  0.5000  1.08
B  0.7666  0.7666  0.7003  0.00
B  0.2334  0.2334  0.2997  0.00
O  0.0584  0.5792  0.7028  -0.02
O  0.6596  0.0584  0.7028  -0.02
O  0.4208  0.3404  0.2972  -0.02
O  0.9416  0.4208  0.2972  -0.02
O  0.3404  0.9416  0.2972  -0.02
O  0.5792  0.6596  0.7028  -0.02

Summary:
Symmetry   R-3 (148)



Number 1: final energy -5.79 eV per atom. Number 2: final energy -5.71 eV per atom. Number 3: final energy -6.24 eV per atom. Number 4: final energy -7.75 eV per atom. Number 5: final energy -8.22 eV per atom.